#one
A geometry-optimized Nd4HoIn2 structure. Source: Alexandria via LeMat-Bulk, functional PBE.

a b c (Å): 8.6187 6.7042 8.7176
angles (deg): 90.00 119.40 90.00
Last column: nearest neighbours and their distance in Å.
Fractional coordinates of all 14 atoms:
Nd (0.0424, 0.2500, 0.0365)  1 Ho 3.25, 2 In 3.27-3.29, 5 Nd 3.30-3.47
Nd (0.1009, 0.7500, 0.3904)  4 In 3.28-3.42, 1 Nd 3.30, 1 Ho 3.41
Nd (0.4429, 0.5033, 0.2688)  4 Nd 3.31-3.65, 3 In 3.33-3.40, 1 Ho 3.59
Nd (0.4429, 0.9967, 0.2688)  4 Nd 3.31-3.65, 3 In 3.33-3.40, 1 Ho 3.59
Nd (0.5571, 0.0033, 0.7312)  4 Nd 3.31-3.65, 3 In 3.33-3.40, 1 Ho 3.59
Nd (0.5571, 0.4967, 0.7312)  4 Nd 3.31-3.65, 3 In 3.33-3.40, 1 Ho 3.59
Nd (0.8991, 0.2500, 0.6096)  4 In 3.28-3.42, 1 Nd 3.30, 1 Ho 3.41
Nd (0.9576, 0.7500, 0.9635)  1 Ho 3.25, 2 In 3.27-3.29, 5 Nd 3.30-3.47
Ho (0.2521, 0.7500, 0.8331)  4 In 3.21-3.41, 4 Nd 3.25-3.59
Ho (0.7479, 0.2500, 0.1669)  4 In 3.21-3.41, 4 Nd 3.25-3.59
In (0.1871, 0.2500, 0.4600)  6 Nd 3.27-3.42, 1 In 3.33, 1 Ho 3.37
In (0.3285, 0.2500, 0.8901)  3 Ho 3.21-3.41, 6 Nd 3.28-3.40, 1 In 3.33
In (0.6715, 0.7500, 0.1099)  3 Ho 3.21-3.41, 6 Nd 3.28-3.40, 1 In 3.33
In (0.8129, 0.7500, 0.5400)  6 Nd 3.27-3.42, 1 In 3.33, 1 Ho 3.37

#two
A geometry-optimized Nd4HoIn2 structure. Source: Alexandria via LeMat-Bulk, functional PBE.

a b c (Å): 6.5671 6.5671 6.3858
angles (deg): 90.00 90.00 126.52
Last column: nearest neighbours and their distance in Å.
Fractional coordinates of all 7 atoms:
Nd (0.0000, 0.5000, 0.5000)  2 Nd 2.95, 2 Ho 3.28
Nd (0.1390, 0.8610, 0.0000)  1 Nd 3.26, 2 Ho 3.58
Nd (0.5000, 0.0000, 0.5000)  2 Nd 2.95, 2 Ho 3.28
Nd (0.8610, 0.1390, 0.0000)  1 Nd 3.26, 2 Ho 3.58
Ho (0.0000, 0.0000, 0.5000)  8 Nd 3.28-3.58, 4 In 3.38
In (0.5000, 0.5000, 0.2445)  2 In 3.12-3.26, 2 Ho 3.38
In (0.5000, 0.5000, 0.7555)  2 In 3.12-3.26, 2 Ho 3.38

It is #one that is the most stable of them.

#one
A geometry-optimized NdHoScIn structure. Source: Alexandria via LeMat-Bulk, functional PBE.

a b c (Å): 5.3997 5.3997 5.3997
angles (deg): 60.00 60.00 60.00
Last column: nearest neighbours and their distance in Å.
Fractional coordinates of all 4 atoms:
Nd (0.0000, 0.0000, 0.0000)  4 Sc 3.31, 4 In 3.31
Ho (0.5000, 0.5000, 0.5000)  4 In 3.31, 4 Sc 3.31
Sc (0.7500, 0.7500, 0.7500)  4 Ho 3.31, 4 Nd 3.31
In (0.2500, 0.2500, 0.2500)  4 Ho 3.31, 4 Nd 3.31

#two
A geometry-optimized NdHoScIn structure. Source: Alexandria via LeMat-Bulk, functional PBE.

a b c (Å): 5.3642 5.3642 5.3642
angles (deg): 60.00 60.00 60.00
Last column: nearest neighbours and their distance in Å.
Fractional coordinates of all 4 atoms:
Nd (0.0000, 0.0000, 0.0000)  4 Ho 3.28, 4 Sc 3.28
Ho (0.7500, 0.7500, 0.7500)  4 In 3.28, 4 Nd 3.28
Sc (0.2500, 0.2500, 0.2500)  4 In 3.28, 4 Nd 3.28
In (0.5000, 0.5000, 0.5000)  4 Ho 3.28, 4 Sc 3.28

It is #one that is the most stable of them.

#one
A geometry-optimized NdHoTmIn structure. Source: Alexandria via LeMat-Bulk, functional PBE.

a b c (Å): 5.4772 5.4772 5.4772
angles (deg): 60.00 60.00 60.00
Last column: nearest neighbours and their distance in Å.
Fractional coordinates of all 4 atoms:
Nd (0.0000, 0.0000, 0.0000)  4 Tm 3.35, 4 In 3.35
Ho (0.5000, 0.5000, 0.5000)  4 Tm 3.35, 4 In 3.35
Tm (0.7500, 0.7500, 0.7500)  4 Ho 3.35, 4 Nd 3.35
In (0.2500, 0.2500, 0.2500)  4 Ho 3.35, 4 Nd 3.35

#two
A geometry-optimized NdHoTmIn structure. Source: Alexandria via LeMat-Bulk, functional PBE.

a b c (Å): 5.4640 5.4640 5.4640
angles (deg): 60.00 60.00 60.00
Last column: nearest neighbours and their distance in Å.
Fractional coordinates of all 4 atoms:
Nd (0.0000, 0.0000, 0.0000)  4 Ho 3.35, 4 Tm 3.35
Ho (0.7500, 0.7500, 0.7500)  4 In 3.35, 4 Nd 3.35
Tm (0.2500, 0.2500, 0.2500)  4 In 3.35, 4 Nd 3.35
In (0.5000, 0.5000, 0.5000)  4 Ho 3.35, 4 Tm 3.35

It is #one that is the most stable of them.

#one
A geometry-optimized NdYHoIn structure. Source: Alexandria via LeMat-Bulk, functional PBE.

a b c (Å): 4.8565 4.8883 4.9437
angles (deg): 90.00 90.00 90.00
Last column: nearest neighbours and their distance in Å.
Fractional coordinates of all 4 atoms:
Nd (0.0000, 0.0000, 0.0000)  4 Ho 3.45, 4 Y 3.47, 4 In 3.48
Y (0.5000, 0.0000, 0.5000)  4 In 3.45, 4 Nd 3.47, 4 Ho 3.48
Ho (0.5000, 0.5000, 0.0000)  4 Nd 3.45, 4 In 3.47, 4 Y 3.48
In (0.0000, 0.5000, 0.5000)  4 Y 3.45, 4 Ho 3.47, 4 Nd 3.48

#two
A geometry-optimized NdYHoIn structure. Source: Alexandria via LeMat-Bulk, functional PBE.

a b c (Å): 5.5076 5.5076 5.5076
angles (deg): 60.00 60.00 60.00
Last column: nearest neighbours and their distance in Å.
Fractional coordinates of all 4 atoms:
Nd (0.0000, 0.0000, 0.0000)  4 In 3.37, 4 Ho 3.37
Y (0.5000, 0.5000, 0.5000)  4 In 3.37, 4 Ho 3.37
Ho (0.7500, 0.7500, 0.7500)  4 Nd 3.37, 4 Y 3.37
In (0.2500, 0.2500, 0.2500)  4 Nd 3.37, 4 Y 3.37

It is #one that is the most stable of them.